# 1
First-principles (PBE) data for an optimized crystal structure of HfSbPd, as listed in OQMD via LeMat-Bulk.

Results
- Raw total energy: -7.013 eV per atom
- Space group: Pnma, No. 62
- Crystal system: orthorhombic

a = 6.6381 Å, b = 4.4106 Å, c = 8.0073 Å
α = 90.00°, β = 90.00°, γ = 90.00°
Fractional coordinates of all 12 atoms:
Hf 0.0166 0.2500 0.2069
Hf 0.4834 0.7500 0.7069
Hf 0.5166 0.2500 0.2931
Hf 0.9834 0.7500 0.7931
Sb 0.2410 0.7500 0.3991
Sb 0.2590 0.2500 0.8991
Sb 0.7410 0.7500 0.1009
Sb 0.7590 0.2500 0.6009
Pd 0.1704 0.2500 0.5749
Pd 0.3296 0.7500 0.0749
Pd 0.6704 0.2500 0.9251
Pd 0.8296 0.7500 0.4251

# 2
First-principles (PBE) data for an optimized crystal structure of HfSbPd, as listed in OQMD via LeMat-Bulk.

Results
- Raw total energy: -6.973 eV per atom
- Space group: P-62m, No. 189
- Crystal system: hexagonal

a = 6.9895 Å, b = 6.9895 Å, c = 4.1807 Å
α = 90.00°, β = 90.00°, γ = 120.00°
Fractional coordinates of all 9 atoms:
Hf 0.0000 0.5854 0.0000
Hf 0.4146 0.4146 0.0000
Hf 0.5854 0.0000 0.0000
Sb 0.0000 0.0000 0.0000
Sb 0.3333 0.6667 0.5000
Sb 0.6667 0.3333 0.5000
Pd 0.0000 0.2574 0.5000
Pd 0.2574 0.0000 0.5000
Pd 0.7426 0.7426 0.5000

# 3
First-principles (PBE) data for an optimized crystal structure of Hf3Sb4Pd4, as listed in OQMD via LeMat-Bulk.

Results
- Energy above the most stable polymorph in this dataset: 0 meV/atom
- Raw total energy: -6.788 eV per atom
- Space group: I-42m, No. 121
- Crystal system: tetragonal

a = 7.6857 Å, b = 7.6857 Å, c = 7.6857 Å
α = 131.44°, β = 131.44°, γ = 71.12°
Fractional coordinates of all 11 atoms:
Hf 0.0000 0.0000 0.0000
Hf 0.2500 0.7500 0.5000
Hf 0.7500 0.2500 0.5000
Sb 0.0000 0.5000 0.5000
Sb 0.2611 0.2611 0.0000
Sb 0.5000 0.0000 0.5000
Sb 0.7389 0.7389 0.0000
Pd 0.1117 0.6310 0.0000
Pd 0.3690 0.3690 0.4808
Pd 0.6310 0.1117 0.0000
Pd 0.8883 0.8883 0.5192

# 4
First-principles (PBE) data for an optimized crystal structure of HfZr2Sb4Pd4, as listed in OQMD via LeMat-Bulk.

Results
- Energy above the most stable polymorph in this dataset: 56 meV/atom
- Raw total energy: -6.513 eV per atom
- Space group: Pm, No. 6
- Crystal system: monoclinic

a = 6.8562 Å, b = 4.1952 Å, c = 8.0480 Å
α = 90.00°, β = 90.61°, γ = 90.00°
Fractional coordinates of all 11 atoms:
Hf 0.0000 0.0000 0.0000
Zr 0.4368 0.5000 0.5001
Zr 0.9242 0.5000 0.6065
Sb 0.2127 0.0000 0.6795
Sb 0.2538 0.5000 0.1835
Sb 0.7001 0.0000 0.4000
Sb 0.7068 0.5000 0.9261
Pd 0.0997 0.0000 0.3583
Pd 0.3100 0.5000 0.8641
Pd 0.6198 0.0000 0.7347
Pd 0.8523 0.5000 0.2346

# 5
First-principles (PBE) data for an optimized crystal structure of HfZr2Sb4Pd4, as listed in OQMD via LeMat-Bulk.

Results
- Energy above the most stable polymorph in this dataset: 0 meV/atom
- Raw total energy: -6.568 eV per atom
- Space group: I-42m, No. 121
- Crystal system: tetragonal

a = 7.7167 Å, b = 7.7167 Å, c = 7.7167 Å
α = 131.35°, β = 131.35°, γ = 71.26°
Fractional coordinates of all 11 atoms:
Hf 0.0000 0.0000 0.0000
Zr 0.2500 0.7500 0.5000
Zr 0.7500 0.2500 0.5000
Sb 0.0000 0.5000 0.5000
Sb 0.2606 0.2606 0.0000
Sb 0.5000 0.0000 0.5000
Sb 0.7394 0.7394 0.0000
Pd 0.1121 0.1121 0.4783
Pd 0.3662 0.8879 0.0000
Pd 0.6338 0.6338 0.5217
Pd 0.8879 0.3662 0.0000

# 6
First-principles (PBE) data for an optimized crystal structure of HfSc2Pd, as listed in OQMD via LeMat-Bulk.

Results
- Raw total energy: -7.096 eV per atom
- Space group: F-43m, No. 216
- E_form: -0.1496 eV per atom
- Crystal system: cubic

a = 6.8346 Å, b = 6.8346 Å, c = 6.8346 Å
α = 90.00°, β = 90.00°, γ = 90.00°
Fractional coordinates of all 16 atoms:
Hf 0.0000 0.0000 0.0000
Hf 0.0000 0.5000 0.5000
Hf 0.5000 0.0000 0.5000
Hf 0.5000 0.5000 0.0000
Sc 0.0000 0.0000 0.5000
Sc 0.0000 0.5000 0.0000
Sc 0.2500 0.2500 0.2500
Sc 0.2500 0.7500 0.7500
Sc 0.5000 0.0000 0.0000
Sc 0.5000 0.5000 0.5000
Sc 0.7500 0.2500 0.7500
Sc 0.7500 0.7500 0.2500
Pd 0.2500 0.2500 0.7500
Pd 0.2500 0.7500 0.2500
Pd 0.7500 0.2500 0.2500
Pd 0.7500 0.7500 0.7500

# 7
First-principles (PBE) data for an optimized crystal structure of HfScPd, as listed in OQMD via LeMat-Bulk.

Results
- Energy above the most stable polymorph in this dataset: 0 meV/atom
- Raw total energy: -7.397 eV per atom
- Space group: F-43m, No. 216
- E_form: -0.2444 eV per atom
- Crystal system: cubic

a = 6.4367 Å, b = 6.4367 Å, c = 6.4367 Å
α = 90.00°, β = 90.00°, γ = 90.00°
Fractional coordinates of all 12 atoms:
Hf 0.0000 0.0000 0.0000
Hf 0.0000 0.5000 0.5000
Hf 0.5000 0.0000 0.5000
Hf 0.5000 0.5000 0.0000
Sc 0.0000 0.0000 0.5000
Sc 0.0000 0.5000 0.0000
Sc 0.5000 0.0000 0.0000
Sc 0.5000 0.5000 0.5000
Pd 0.2500 0.2500 0.2500
Pd 0.2500 0.7500 0.7500
Pd 0.7500 0.2500 0.7500
Pd 0.7500 0.7500 0.2500

# 8
First-principles (PBE) data for an optimized crystal structure of HfSc2Pd4, as listed in OQMD via LeMat-Bulk.

Results
- Raw total energy: -6.855 eV per atom
- Space group: I4/mmm, No. 139
- E_form: -0.6675 eV per atom
- Crystal system: tetragonal

a = 6.6587 Å, b = 6.6587 Å, c = 5.6075 Å
α = 90.00°, β = 90.00°, γ = 90.00°
Fractional coordinates of all 14 atoms:
Hf 0.0000 0.0000 0.0000
Hf 0.5000 0.5000 0.5000
Sc 0.0000 0.5000 0.2500
Sc 0.0000 0.5000 0.7500
Sc 0.5000 0.0000 0.2500
Sc 0.5000 0.0000 0.7500
Pd 0.2061 0.2061 0.5000
Pd 0.2061 0.7939 0.5000
Pd 0.2939 0.2939 0.0000
Pd 0.2939 0.7061 0.0000
Pd 0.7061 0.2939 0.0000
Pd 0.7061 0.7061 0.0000
Pd 0.7939 0.2061 0.5000
Pd 0.7939 0.7939 0.5000

# 9
First-principles (PBE) data for an optimized crystal structure of HfTlTePdSe2, as listed in OQMD via LeMat-Bulk.

Results
- Energy above the most stable polymorph in this dataset: 88 meV/atom
- Raw total energy: -5.331 eV per atom
- Space group: P2_1/m, No. 11
- Crystal system: monoclinic

a = 8.3604 Å, b = 3.8744 Å, c = 10.4676 Å
α = 90.00°, β = 111.07°, γ = 90.00°
Fractional coordinates of all 12 atoms:
Hf 0.2226 0.2500 0.1837
Hf 0.7774 0.7500 0.8163
Tl 0.2403 0.7500 0.6966
Tl 0.7597 0.2500 0.3034
Te 0.0641 0.2500 0.8768
Te 0.9359 0.7500 0.1232
Pd 0.4140 0.7500 0.3957
Pd 0.5860 0.2500 0.6043
Se 0.2427 0.2500 0.4391
Se 0.4199 0.7500 0.1496
Se 0.5801 0.2500 0.8504
Se 0.7573 0.7500 0.5609

# 10
First-principles (PBE) data for an optimized crystal structure of HfTlTePdSe2, as listed in OQMD via LeMat-Bulk.

Results
- Energy above the most stable polymorph in this dataset: 71 meV/atom
- Raw total energy: -5.348 eV per atom
- Space group: P2_1/m, No. 11
- Crystal system: monoclinic

a = 8.4980 Å, b = 3.8903 Å, c = 10.1486 Å
α = 90.00°, β = 111.99°, γ = 90.00°
Fractional coordinates of all 12 atoms:
Hf 0.1851 0.2500 0.1681
Hf 0.8149 0.7500 0.8319
Tl 0.2312 0.7500 0.7028
Tl 0.7688 0.2500 0.2972
Te 0.4217 0.7500 0.1361
Te 0.5783 0.2500 0.8639
Pd 0.4006 0.7500 0.3981
Pd 0.5994 0.2500 0.6019
Se 0.0516 0.2500 0.8735
Se 0.2385 0.2500 0.4417
Se 0.7615 0.7500 0.5583
Se 0.9484 0.7500 0.1265

# 11
First-principles (PBE) data for an optimized crystal structure of HfTlTePdSe2, as listed in OQMD via LeMat-Bulk.

Results
- Energy above the most stable polymorph in this dataset: 0 meV/atom
- Raw total energy: -5.419 eV per atom
- Space group: P2_1/m, No. 11
- Crystal system: monoclinic

a = 8.4218 Å, b = 3.7726 Å, c = 10.5600 Å
α = 90.00°, β = 112.20°, γ = 90.00°
Fractional coordinates of all 12 atoms:
Hf 0.1946 0.2500 0.1606
Hf 0.8054 0.7500 0.8394
Tl 0.2511 0.7500 0.7338
Tl 0.7489 0.2500 0.2662
Te 0.2292 0.2500 0.4466
Te 0.7708 0.7500 0.5534
Pd 0.4114 0.7500 0.3835
Pd 0.5886 0.2500 0.6165
Se 0.0543 0.2500 0.8793
Se 0.4065 0.7500 0.1384
Se 0.5935 0.2500 0.8616
Se 0.9457 0.7500 0.1207